# TbNdCO

A relaxed structure of TbNdCO (PBE, Alexandria).

Unit cell a=6.545 b=6.545 c=6.545 alpha=151.45 beta=150.30 gamma=41.66
Fractional coordinates of all 4 atoms:
Tb 0.000 0.000 0.000
Nd 0.249 0.749 0.500
C 0.590 0.590 0.000
O 0.842 0.342 0.500

Computed properties:
Total DFT energy (no corrections): -28.11 eV per formula unit
Raw formation energy: -1.131 eV per atom
Symmetry: Imm2, No. 44